# 1
Ce4Tm3ThS8, relaxed, DFT GGA-PBE; space group = R-3m; electronic total energy = -6.83 eV/atom
1.0
3.9512 2.2812 6.4985
-3.9512 2.2812 6.4985
0.0000 -4.5624 6.4985
Ce Tm Th S
4 3 1 8
Direct
0.0000 0.0000 0.0000 Ce
0.0000 0.5000 0.5000 Ce
0.5000 0.0000 0.5000 Ce
0.5000 0.5000 0.0000 Ce
0.0000 0.0000 0.5000 Tm
0.0000 0.5000 0.0000 Tm
0.5000 0.0000 0.0000 Tm
0.5000 0.5000 0.5000 Th
0.2365 0.7511 0.7511 S
0.2442 0.2442 0.2442 S
0.2489 0.2489 0.7635 S
0.2489 0.7635 0.2489 S
0.7511 0.2365 0.7511 S
0.7511 0.7511 0.2365 S
0.7558 0.7558 0.7558 S
0.7635 0.2489 0.2489 S

# 2
Ce2Tm3ThS6, relaxed, DFT GGA-PBE; space group = C2/m; electronic total energy = -6.75 eV/atom
1.0
8.6840 -1.9429 0.0000
8.6840 1.9429 0.0000
-2.1854 0.0000 7.6795
Ce Tm Th S
2 3 1 6
Direct
0.1658 0.1658 0.3314 Ce
0.8342 0.8342 0.6686 Ce
0.1666 0.1666 0.8323 Tm
0.5000 0.5000 0.5000 Tm
0.8334 0.8334 0.1677 Tm
0.5000 0.5000 0.0000 Th
0.0048 0.0048 0.7381 S
0.3286 0.3286 0.9279 S
0.3370 0.3370 0.4074 S
0.6630 0.6630 0.5926 S
0.6714 0.6714 0.0721 S
0.9952 0.9952 0.2619 S

# 3
CeYTh2S4, relaxed, DFT GGA-PBE; space group = P2/m; electronic total energy = -7.40 eV/atom
1.0
6.8820 0.0000 0.0000
0.0000 3.9956 0.0000
-2.2998 0.0000 6.6024
Ce Y Th S
1 1 2 4
Direct
0.0000 0.0000 0.0000 Ce
0.5000 0.5000 0.0000 Y
0.0000 0.5000 0.5000 Th
0.5000 0.0000 0.5000 Th
0.2522 0.5000 0.2426 S
0.2578 0.0000 0.7606 S
0.7422 0.0000 0.2394 S
0.7478 0.5000 0.7574 S

# 4
Ce2Y3ThS6, relaxed, DFT GGA-PBE; space group = C2/m; electronic total energy = -7.27 eV/atom
1.0
8.7187 -1.9740 0.0000
8.7187 1.9740 0.0000
-2.0440 0.0000 7.7435
Ce Y Th S
2 3 1 6
Direct
0.1660 0.1660 0.3320 Ce
0.8340 0.8340 0.6680 Ce
0.1664 0.1664 0.8326 Y
0.5000 0.5000 0.5000 Y
0.8336 0.8336 0.1674 Y
0.5000 0.5000 0.0000 Th
0.0029 0.0029 0.7422 S
0.3302 0.3302 0.9234 S
0.3354 0.3354 0.4112 S
0.6646 0.6646 0.5888 S
0.6698 0.6698 0.0766 S
0.9971 0.9971 0.2578 S

Number 1: ΔE_f (raw) -1983 meV/atom. Number 2: ΔE_f (raw) -1961 meV/atom. Number 3: ΔE_f (raw) -1932 meV/atom. Number 4: ΔE_f (raw) -1988 meV/atom.